Bi2W2O9 (PBE+U, optimized geometry); E_tot = -6.887 eV/atom; SG = Pbcn (60)
1.0
-5.289 0.404 -1.400
-1.087 -4.549 2.794
-4.318 13.434 20.191
Bi W O
8 8 36
direct
0.641 0.022 0.291 Bi
0.359 0.978 0.791 Bi
0.859 0.522 0.791 Bi
0.141 0.478 0.291 Bi
0.641 0.522 0.396 Bi
0.359 0.478 0.896 Bi
0.859 0.022 0.896 Bi
0.141 0.978 0.396 Bi
0.702 0.501 0.170 W
0.298 0.499 0.670 W
0.798 0.001 0.670 W
0.202 0.999 0.170 W
0.298 0.999 0.017 W
0.702 0.001 0.517 W
0.202 0.499 0.517 W
0.798 0.501 0.017 W
0.414 0.759 0.343 O
0.586 0.241 0.843 O
0.086 0.259 0.843 O
0.914 0.741 0.343 O
0.414 0.259 0.344 O
0.586 0.741 0.844 O
0.086 0.759 0.844 O
0.914 0.241 0.344 O
0.250 0.935 0.094 O
0.750 0.065 0.594 O
0.250 0.435 0.594 O
0.750 0.565 0.094 O
0.452 0.278 0.159 O
0.548 0.722 0.659 O
0.048 0.778 0.659 O
0.952 0.222 0.159 O
0.547 0.222 0.028 O
0.453 0.778 0.528 O
0.953 0.722 0.528 O
0.047 0.278 0.028 O
0.264 0.073 0.941 O
0.736 0.927 0.441 O
0.236 0.573 0.441 O
0.764 0.427 0.941 O
0.500 0.776 0.182 O
0.500 0.224 0.682 O
0.000 0.276 0.682 O
0.000 0.724 0.182 O
0.499 0.724 0.005 O
0.501 0.276 0.505 O
0.001 0.224 0.505 O
0.999 0.776 0.005 O
0.735 0.428 0.246 O
0.265 0.572 0.746 O
0.765 0.928 0.746 O
0.235 0.072 0.246 O